Crystalline MnCu2Pd4 at its relaxed geometry. Source: Alexandria, functional PBE.

**Formation enthalpy at 0 K**: -0.018 eV per atom
**ΔE to the lowest computed polymorph**: 0 meV per atom
**M_tot**: 9.6 Bohr magnetons per cell
**Symmetry**: P2_1/m
**Raw total energy**: -5.47 eV per atom

abc: 6.5435 5.4389 6.5894
angles: 90.00 116.37 90.00
Fractional positions:
Mn  0.2498  0.7500  0.0676
Mn  0.7502  0.2500  0.9324
Cu  0.7386  0.7500  0.9376
Cu  0.2614  0.2500  0.0624
Cu  0.5001  0.2500  0.4932
Cu  0.4999  0.7500  0.5068
Pd  0.6512  0.5005  0.2421
Pd  0.9270  0.7500  0.6701
Pd  0.0730  0.2500  0.3299
Pd  0.6512  0.9995  0.2421
Pd  0.9343  0.2500  0.6618
Pd  0.3488  0.0005  0.7579
Pd  0.3488  0.4995  0.7579
Pd  0.0657  0.7500  0.3382